Density functional theory data (PBE) for a geometry-optimized SiOs4Ru structure.

Lattice parameters (Å, degrees): 7.2168 7.2168 7.2168 90.00 90.00 90.00
Closest atoms and distances in Å follow each position.
Space group F-43m (No. 216)
Inequivalent atoms, fractional coordinates:
Si (0.0000, 0.0000, 0.0000)  12 Os 2.99, 4 Ru 3.12
Os (0.1244, 0.1244, 0.3756)  6 Os 2.54-2.56
Ru (0.2500, 0.2500, 0.7500)  12 Os 2.99, 4 Si 3.12

Values from the calculation:
* size of the total moment: 0.608 μB per formula unit
* formation energy (no corrections): 579.3 kJ/mol of formula units
* final energy: -8.936 eV/atom